A relaxed structure of TbSb4Rh5, computed with GGA-PBE. Values from VASP.

Geometry as Quantum ESPRESSO input:
```
&SYSTEM
  ibrav = 0, nat = 20, ntyp = 3
/
ATOMIC_SPECIES
Tb 158.93 Tb.upf
Sb 121.76 Sb.upf
Rh 102.91 Rh.upf
CELL_PARAMETERS angstrom
7.807 0.000 0.000
0.000 9.116 0.000
0.000 0.000 5.686
ATOMIC_POSITIONS crystal
Tb 0.250 0.250 0.010
Tb 0.750 0.750 0.990
Sb 0.044 0.250 0.505
Sb 0.250 0.589 0.891
Sb 0.250 0.911 0.891
Sb 0.456 0.250 0.505
Sb 0.544 0.750 0.495
Sb 0.750 0.089 0.109
Sb 0.750 0.411 0.109
Sb 0.956 0.750 0.495
Rh 0.046 0.002 0.251
Rh 0.046 0.498 0.251
Rh 0.250 0.750 0.283
Rh 0.454 0.002 0.251
Rh 0.454 0.498 0.251
Rh 0.546 0.502 0.749
Rh 0.546 0.998 0.749
Rh 0.750 0.250 0.717
Rh 0.954 0.502 0.749
Rh 0.954 0.998 0.749
```

Output
total energy: -124.3 eV/cell
energy relative to the elements, uncorrected: -0.429 eV/atom
space group: Pmmn
total moment: 0.00 μB per cell